Material: Tb4PuN5
Method: DFT, GGA-PBE
State: optimized geometry

Cell: 6.041 6.041 6.041 Å, 99.60 99.60 131.80°
Element x y z (fractional)
Tb  0.100  0.699  0.799
Tb  0.301  0.100  0.401
Tb  0.699  0.900  0.599
Tb  0.900  0.301  0.201
Pu  0.500  0.500  0.000
N  0.000  0.000  0.000
N  0.208  0.404  0.612
N  0.404  0.792  0.196
N  0.596  0.208  0.804
N  0.792  0.596  0.388

Summary:
ΔE_f (raw) in meV/atom: -1573